1.
Here is a relaxed structure of RbTeI3 from the Alexandria database. Energies are from GGA-PBE.

extended XYZ file:
```
20
Lattice="8.889 0.000 0.000 0.000 12.494 0.000 0.000 0.000 8.689" Properties=species:S:1:pos:R:3 pbc="T T T"
Rb 0.563 3.124 0.268
Rb 3.881 9.371 4.613
Rb 5.008 3.124 4.076
Rb 8.326 9.371 8.421
Te 0.000 0.000 4.344
Te 0.000 6.247 4.344
Te 4.445 0.000 0.000
Te 4.445 6.247 0.000
I 0.005 9.371 4.374
I 2.161 0.001 6.578
I 2.161 6.246 6.578
I 2.283 12.494 2.234
I 2.283 6.248 2.234
I 4.439 3.124 0.029
I 4.450 9.371 8.659
I 6.606 0.001 6.455
I 6.606 6.246 6.455
I 6.728 12.494 2.111
I 6.728 6.248 2.111
I 8.884 3.124 4.315
```

Values from the calculation:
excess energy over the best structure of this formula in the dataset	19	meV per atom


2.
Here is a relaxed structure of RbTeI3 from the Alexandria database. Energies are from GGA-PBE.

extended XYZ file:
```
5
Lattice="4.490 0.000 0.000 0.000 4.111 10.086 0.000 -4.111 10.086" Properties=species:S:1:pos:R:3 pbc="T T T"
Rb 0.000 0.000 0.000
Te 2.245 0.000 13.272
I 0.000 -2.039 13.377
I 0.000 2.039 13.377
I 2.245 0.000 17.626
```

Values from the calculation:
excess energy over the best structure of this formula in the dataset	256	meV per atom


3.
Here is a relaxed structure of RbTeI3 from the Alexandria database. Energies are from GGA-PBE.

extended XYZ file:
```
10
Lattice="4.097 2.366 8.152 -4.097 2.366 8.152 0.000 -4.731 8.152" Properties=species:S:1:pos:R:3 pbc="T T T"
Rb 0.000 0.000 2.931
Rb 0.000 0.000 21.525
Te 0.000 0.000 7.865
Te 0.000 0.000 16.591
I -1.991 -1.185 10.423
I -2.021 1.132 14.033
I 0.030 -2.317 14.033
I -0.030 2.317 10.423
I 2.021 -1.132 10.423
I 1.991 1.185 14.033
```

Values from the calculation:
excess energy over the best structure of this formula in the dataset	296	meV per atom


4.
Here is a relaxed structure of RbTeI3 from the Alexandria database. Energies are from GGA-PBE.

extended XYZ file:
```
20
Lattice="10.179 0.000 0.000 0.000 10.006 0.000 -1.090 0.000 9.719" Properties=species:S:1:pos:R:3 pbc="T T T"
Rb 1.734 0.651 4.688
Rb 1.190 4.352 9.547
Rb 7.900 5.654 0.172
Rb 7.355 9.355 5.031
Te 2.046 7.461 7.279
Te 2.590 7.548 2.420
Te 6.499 2.458 7.299
Te 7.044 2.545 2.440
I -0.717 1.930 7.273
I -0.172 3.073 2.414
I 2.337 5.779 4.788
I 1.792 9.230 9.647
I 4.077 2.272 2.377
I 3.532 2.731 7.236
I 5.557 7.275 2.483
I 5.012 7.734 7.342
I 7.297 0.776 0.071
I 6.752 4.227 4.931
I 9.262 6.933 7.305
I 9.807 8.076 2.446
```

Values from the calculation:
excess energy over the best structure of this formula in the dataset	35	meV per atom


5.
Here is a relaxed structure of Rb4TeI7 from the Alexandria database. Energies are from GGA-PBE.

extended XYZ file:
```
12
Lattice="9.623 -3.065 0.000 9.623 3.065 0.000 -6.315 0.000 10.745" Properties=species:S:1:pos:R:3 pbc="T T T"
Rb -0.529 0.000 2.470
Rb -0.954 0.000 8.766
Rb 13.885 0.000 1.979
Rb 13.460 0.000 8.275
Te 6.466 0.000 5.372
I -3.157 0.000 5.372
I 2.602 0.000 0.672
I 1.605 0.000 5.565
I 6.913 0.000 2.427
I 6.018 0.000 8.318
I 11.326 0.000 5.179
I 10.329 0.000 10.073
```


6.
Here is a relaxed structure of RbTeI3 from the Alexandria database. Energies are from GGA-PBE.

extended XYZ file:
```
5
Lattice="5.927 0.000 0.000 0.000 5.927 0.000 0.000 0.000 8.925" Properties=species:S:1:pos:R:3 pbc="T T T"
Rb 0.000 0.000 0.000
Te 2.963 2.963 2.966
I 0.000 0.000 5.495
I 0.000 2.963 2.300
I 2.963 0.000 2.300
```

Values from the calculation:
excess energy over the best structure of this formula in the dataset	242	meV per atom


7.
Here is a relaxed structure of RbTeI3 from the Alexandria database. Energies are from GGA-PBE.

extended XYZ file:
```
10
Lattice="4.786 -7.136 0.000 4.786 7.136 0.000 0.000 0.000 8.548" Properties=species:S:1:pos:R:3 pbc="T T T"
Rb 4.786 5.841 6.411
Rb 4.786 -5.841 2.137
Te 4.786 2.022 6.411
Te 4.786 -2.022 2.137
I 1.796 2.073 6.411
I 1.796 -2.073 2.137
I 4.786 0.000 0.000
I 4.786 0.000 4.274
I 7.776 2.073 6.411
I 7.776 -2.073 2.137
```

Values from the calculation:
excess energy over the best structure of this formula in the dataset	76	meV per atom


8.
Here is a relaxed structure of RbTeI3 from the Alexandria database. Energies are from GGA-PBE.

extended XYZ file:
```
10
Lattice="4.382 2.530 7.187 -4.382 2.530 7.187 0.000 -5.060 7.187" Properties=species:S:1:pos:R:3 pbc="T T T"
Rb 0.000 0.000 5.391
Rb 0.000 0.000 16.172
Te 0.000 0.000 0.000
Te 0.000 0.000 10.781
I -2.260 1.146 8.984
I -2.123 -1.384 12.578
I 0.137 -2.530 8.984
I -0.137 2.530 12.578
I 2.123 1.384 8.984
I 2.260 -1.146 12.578
```

Values from the calculation:
excess energy over the best structure of this formula in the dataset	22	meV per atom


Number 1: formation energy without anion corrections -0.63 eV/atom, total moment 0.000 μB per cell. Number 2: formation energy without anion corrections -0.39 eV/atom, total moment 0.093 μB per cell. Number 3: formation energy without anion corrections -0.35 eV/atom, total moment 2.000 μB per cell. Number 4: formation energy without anion corrections -0.61 eV/atom, total moment 0.000 μB per cell. Number 5: formation energy without anion corrections -0.98 eV/atom, total moment 0.000 μB per cell. Number 6: formation energy without anion corrections -0.40 eV/atom, total moment 0.175 μB per cell. Number 7: formation energy without anion corrections -0.57 eV/atom, total moment 0.000 μB per cell. Number 8: formation energy without anion corrections -0.62 eV/atom, total moment 0.000 μB per cell.